VASP calculation (GGA+U) on crystalline Cr2GaBiO8 at its relaxed geometry.

The structure in POSCAR format:
```
Cr2GaBiO8
1.0
-3.535 3.535 3.133
3.535 -3.535 3.133
3.535 3.535 -3.133
Cr Ga Bi O
2 1 1 8
Cartesian
0.000 0.000 0.000
0.000 3.535 1.566
0.000 0.000 3.133
3.535 0.000 1.566
3.535 1.387 -0.505
2.270 3.535 -1.986
1.265 0.000 1.147
1.387 3.535 0.505
2.148 0.000 3.637
3.535 2.270 1.986
0.000 2.148 2.628
0.000 1.265 5.119
```

Summary:
The calculation puts the volume at 13.050 A^3/atom. For the total DFT energy (no corrections), the calculation gives -75.81 eV for the cell shown.